Here is a relaxed structure of La2GaCl4 from Alexandria. Energies are from PBE.

a = 8.097 Å, b = 8.097 Å, c = 8.097 Å
α = 138.62°, β = 138.62°, γ = 59.96°
Fractional positions:
La (0.097, 0.097, 0.000)
La (0.903, 0.903, 0.000)
Ga (0.500, 0.500, 0.000)
Cl (0.000, 0.500, 0.500)
Cl (0.297, 0.297, 0.000)
Cl (0.500, 0.000, 0.500)
Cl (0.703, 0.703, 0.000)

Output
Final energy ... -28.2 eV per formula unit
DOS at the Fermi energy ... 4.7 states/eV/f.u.


Here is a relaxed structure of CoOsRu from Alexandria. Energies are from PBE.

a = 6.973 Å, b = 6.741 Å, c = 2.644 Å
α = 83.87°, β = 73.98°, γ = 22.15°
Fractional positions:
Co (0.000, 0.000, 0.000)
Os (0.337, 0.337, 0.663)
Ru (0.663, 0.663, 0.337)

Output
Final energy ... -26.1 eV per formula unit
DOS at the Fermi energy ... 4.6 states/eV/f.u.
Polymorph energy (0 for the lowest one) ... 1.36 eV per formula unit
ΔH_f (0 K) ... 0.506 eV per atom


Here is a relaxed structure of Ho2InSb from Alexandria. Energies are from PBE.

a = 3.942 Å, b = 3.942 Å, c = 6.831 Å
α = 90.00°, β = 90.00°, γ = 90.00°
Fractional positions:
Ho (0.000, 0.000, 0.242)
Ho (0.000, 0.000, 0.758)
In (0.500, 0.500, 0.500)
Sb (0.500, 0.500, 0.000)

Output
Final energy ... -18.5 eV per formula unit
DOS at the Fermi energy ... 3.0 states/eV/f.u.
Polymorph energy (0 for the lowest one) ... 0.49 eV per formula unit